Entry from the Alexandria database: a relaxed structure of ZrZnCo2 (PBE).

abc: 8.958 8.958 8.958
angles: 17.87 17.87 17.87
Fractional positions:
Co  0.011  0.011  0.011
Co  0.746  0.746  0.746
Zn  0.490  0.490  0.490
Zr  0.253  0.253  0.253

Output
Raw total energy ... -23.23 eV/cell
M_tot ... 3.0 μB per formula unit
Crystal system ... trigonal
Space group ... R3m (160)